La | OQMD | PBE | relaxed; calculated total energy = -0.3255 Ry/atom; energy of formation = 0.494 eV per atom; SG = No. 152; relative energy among the computed polymorphs = 0.494 eV/atom; magnetic moment = 0.01 μB per formula unit
1.0
-2.037 -4.018 0.955
2.316 2.246 3.286
-4.903 2.846 1.511
La
3
direct
0.705 0.705 0.000 La
0.295 0.000 0.333 La
0.000 0.295 0.667 La